A | First-principles (PBE) data for crystalline YZrNb2 at its relaxed geometry, as listed in the Alexandria database.

The space group is I-42d (No. 122) and the conventional cell measures 7.762, 7.762 and 6.029 Å, with angles of 90.00, 90.00 and 90.00 degrees. Symmetry generates all atoms from Y at (0.000, 0.000, 0.000), Zr at (0.000, 0.000, 0.500) and Nb at (0.238, 0.250, 0.625).

The theoretical density comes out at 6.7 g/cm³. Its spin magnetization is 0.000 μB/f.u.


B | First-principles (PBE) data for crystalline YZrNb2 at its relaxed geometry, as listed in the Alexandria database.

The space group is Fm-3m (No. 225) and the conventional cell measures 7.033, 7.033 and 7.033 Å, with angles of 90.00, 90.00 and 90.00 degrees. Symmetry generates all atoms from Y at (0.000, 0.000, 0.000), Zr at (0.000, 0.000, 0.500) and Nb at (0.250, 0.250, 0.250).

The theoretical density comes out at 7.0 g/cm³. Its spin magnetization is 0.000 μB/f.u.


Most favorable first, least favorable last: B, A